P | Dy4Ho7Tm | GGA-PBE | relaxed

```
data_Dy4Ho7Tm
_chemical_formula_sum 'Dy4 Ho7 Tm1'
_cell_length_a 6.437
_cell_length_b 6.726
_cell_length_c 8.974
_cell_angle_alpha 85.85
_cell_angle_beta 76.79
_cell_angle_gamma 82.04
_space_group_name_H-M_alt 'P -1'
_space_group_IT_number 2
loop_
_space_group_symop_operation_xyz
'x,y,z'
'-x,-y,-z'
loop_
_atom_site_label
_atom_site_type_symbol
_atom_site_fract_x
_atom_site_fract_y
_atom_site_fract_z
Dy1 Dy 0.140 0.307 0.284
Dy2 Dy 0.340 0.883 0.691
Ho1 Ho 0.013 0.252 0.948
Ho2 Ho 0.186 0.799 0.359
Ho3 Ho 0.309 0.394 0.613
Ho4 Ho 0.500 0.000 0.000
Tm1 Tm 0.500 0.500 0.000
```

size of the total moment	0.00	μB per formula unit
density	8.8	g cm⁻³
Fermi-level density of states	19.5	states/eV per cell

---

Q | Dy4Ho7Tm | GGA-PBE | relaxed

```
data_Dy4Ho7Tm
_chemical_formula_sum 'Dy8 Ho14 Tm2'
_cell_length_a 11.942
_cell_length_b 5.822
_cell_length_c 12.571
_cell_angle_alpha 90.00
_cell_angle_beta 118.24
_cell_angle_gamma 90.00
_space_group_name_H-M_alt 'C 1 2/m 1'
_space_group_IT_number 12
loop_
_space_group_symop_operation_xyz
'x,y,z'
'-x,-y,-z'
'-x,y,-z'
'x,-y,z'
'x+1/2,y+1/2,z'
'-x+1/2,-y+1/2,-z'
'-x+1/2,y+1/2,-z'
'x+1/2,-y+1/2,z'
loop_
_atom_site_label
_atom_site_type_symbol
_atom_site_fract_x
_atom_site_fract_y
_atom_site_fract_z
Dy1 Dy 0.060 0.000 0.323
Dy2 Dy 0.136 0.500 0.776
Ho1 Ho 0.000 0.000 0.000
Ho2 Ho 0.134 0.500 0.502
Ho3 Ho 0.212 0.000 0.924
Ho4 Ho 0.248 0.000 0.684
Tm1 Tm 0.000 0.500 0.000
```

size of the total moment	0.01	μB per formula unit
density	8.5	g cm⁻³
Fermi-level density of states	40.6	states/eV per cell

---

Which structure loses on stability? Q does.

---

P | Dy3Ho4Tm | GGA-PBE | relaxed

```
data_Dy3Ho4Tm
_chemical_formula_sum 'Dy6 Ho8 Tm2'
_cell_length_a 5.569
_cell_length_b 25.839
_cell_length_c 3.532
_cell_angle_alpha 90.00
_cell_angle_beta 90.00
_cell_angle_gamma 90.00
_space_group_name_H-M_alt 'C m m m'
_space_group_IT_number 65
_space_group_name_Hall '-C 2 2'
loop_
_atom_site_label
_atom_site_type_symbol
_atom_site_fract_x
_atom_site_fract_y
_atom_site_fract_z
Dy1 Dy 0.000 0.000 0.000
Dy2 Dy 0.000 0.154 0.500
Ho1 Ho 0.000 0.277 0.000
Ho2 Ho 0.000 0.397 0.000
Tm1 Tm 0.000 0.500 0.500
```

size of the total moment	0.00	μB per formula unit
density	8.6	g cm⁻³
Fermi-level density of states	22.0	states/eV per cell

---

Q | Dy3Ho4Tm | GGA-PBE | relaxed

```
data_Dy3Ho4Tm
_chemical_formula_sum 'Dy6 Ho8 Tm2'
_cell_length_a 11.139
_cell_length_b 7.209
_cell_length_c 6.231
_cell_angle_alpha 90.00
_cell_angle_beta 90.00
_cell_angle_gamma 90.00
_space_group_name_H-M_alt 'P m n 21'
_space_group_IT_number 31
loop_
_space_group_symop_operation_xyz
'x,y,z'
'-x+1/2,-y,z+1/2'
'-x,y,z'
'x+1/2,-y,z+1/2'
loop_
_atom_site_label
_atom_site_type_symbol
_atom_site_fract_x
_atom_site_fract_y
_atom_site_fract_z
Dy1 Dy 0.000 0.125 0.000
Dy2 Dy 0.250 0.125 0.333
Ho1 Ho 0.000 0.375 0.501
Ho2 Ho 0.000 0.625 0.000
Ho3 Ho 0.249 0.625 0.334
Tm1 Tm 0.000 0.875 0.500
```

size of the total moment	0.00	μB per formula unit
density	8.7	g cm⁻³
Fermi-level density of states	25.8	states/eV per cell

---

Which structure loses on stability? P does.

---

P | DyHoTm | GGA-PBE | relaxed

```
data_DyHoTm
_chemical_formula_sum 'Dy1 Ho1 Tm1'
_cell_length_a 5.5434
_cell_length_b 5.5434
_cell_length_c 3.4444
_cell_angle_alpha 90.00
_cell_angle_beta 90.00
_cell_angle_gamma 120.00
_space_group_name_H-M_alt 'P -6 m 2'
_space_group_IT_number 187
_space_group_name_Hall 'P -6 2'
loop_
_atom_site_label
_atom_site_type_symbol
_atom_site_fract_x
_atom_site_fract_y
_atom_site_fract_z
Dy1 Dy 0.0000 0.0000 0.0000
Ho1 Ho 0.6667 0.3333 0.5000
Tm1 Tm 0.3333 0.6667 0.0000
```

size of the total moment	0.00	μB per formula unit
density	9.0	g cm⁻³
Fermi-level density of states	5.6	states/eV per cell

---

Q | DyHoTm | GGA-PBE | relaxed

```
data_DyHoTm
_chemical_formula_sum 'Dy2 Ho2 Tm2'
_cell_length_a 3.506
_cell_length_b 3.506
_cell_length_c 14.938
_cell_angle_alpha 90.00
_cell_angle_beta 90.00
_cell_angle_gamma 90.00
_space_group_name_H-M_alt 'I 4 m m'
_space_group_IT_number 107
_space_group_name_Hall 'I 4 -2'
loop_
_atom_site_label
_atom_site_type_symbol
_atom_site_fract_x
_atom_site_fract_y
_atom_site_fract_z
Dy1 Dy 0.000 0.000 0.000
Ho1 Ho 0.000 0.000 0.668
Tm1 Tm 0.000 0.000 0.334
```

size of the total moment	0.00	μB per formula unit
density	9.0	g cm⁻³
Fermi-level density of states	8.0	states/eV per cell

---

Which structure loses on stability? P does.

---

P | DyHoTm | GGA-PBE | relaxed

```
data_DyHoTm
_chemical_formula_sum 'Dy4 Ho4 Tm4'
_cell_length_a 12.920
_cell_length_b 3.505
_cell_length_c 9.504
_cell_angle_alpha 90.00
_cell_angle_beta 120.40
_cell_angle_gamma 90.00
_space_group_name_H-M_alt 'C 1 2/m 1'
_space_group_IT_number 12
loop_
_space_group_symop_operation_xyz
'x,y,z'
'-x,-y,-z'
'-x,y,-z'
'x,-y,z'
'x+1/2,y+1/2,z'
'-x+1/2,-y+1/2,-z'
'-x+1/2,y+1/2,-z'
'x+1/2,-y+1/2,z'
loop_
_atom_site_label
_atom_site_type_symbol
_atom_site_fract_x
_atom_site_fract_y
_atom_site_fract_z
Dy1 Dy 0.106 0.000 0.331
Ho1 Ho 0.140 0.500 0.023
Tm1 Tm 0.127 0.500 0.664
```

size of the total moment	0.00	μB per formula unit
density	8.9	g cm⁻³
Fermi-level density of states	22.4	states/eV per cell

---

Q | DyHoTm | GGA-PBE | relaxed

```
data_DyHoTm
_chemical_formula_sum 'Dy4 Ho4 Tm4'
_cell_length_a 6.102
_cell_length_b 17.100
_cell_length_c 3.523
_cell_angle_alpha 90.00
_cell_angle_beta 90.00
_cell_angle_gamma 90.00
_space_group_name_H-M_alt 'P n n m'
_space_group_IT_number 58
loop_
_space_group_symop_operation_xyz
'x,y,z'
'-x,-y,-z'
'-x,-y,z'
'x,y,-z'
'x+1/2,-y+1/2,-z+1/2'
'-x+1/2,y+1/2,z+1/2'
'-x+1/2,y+1/2,-z+1/2'
'x+1/2,-y+1/2,z+1/2'
loop_
_atom_site_label
_atom_site_type_symbol
_atom_site_fract_x
_atom_site_fract_y
_atom_site_fract_z
Dy1 Dy 0.167 0.085 0.000
Ho1 Ho 0.167 0.415 0.000
Tm1 Tm 0.001 0.750 0.500
```

size of the total moment	0.00	μB per formula unit
density	9.0	g cm⁻³
Fermi-level density of states	17.7	states/eV per cell

---

Which structure loses on stability? P does.